VASP calculation (PBE+U) on VOsO3 after structural relaxation.

Geometry as POSCAR:
```
VOsO3
1.0
3.9089 0.0000 0.0000
0.0000 3.9089 0.0000
0.0000 0.0000 3.9089
Os O V
1 3 1
direct
0.0000 0.0000 0.0000
0.0000 0.5000 0.0000
0.0000 0.0000 0.5000
0.5000 0.0000 0.0000
0.5000 0.5000 0.5000
```

VASP energy = -0.261 hartree per atom
Density = 8040 kg/m³
Space-group type = No. 221